[1]
# GGA-PBE CdNiMo2, relaxed
# M_tot: 0.00 μB/cell
# Calculated volume: 16.72 Å³/atom
# N(E_F): 2.84 states/eV/f.u.
data_CdNiMo2
_chemical_formula_sum 'Cd4 Ni4 Mo8'
_space_group_name_H-M_alt 'I -4 2 d'
_space_group_IT_number 122
_space_group_name_Hall 'I -4 2bw'
_cell_length_a 3.6634
_cell_length_b 3.6634
_cell_length_c 19.9316
_cell_angle_alpha 90.00
_cell_angle_beta 90.00
_cell_angle_gamma 90.00
loop_
_atom_site_label
_atom_site_fract_x
_atom_site_fract_y
_atom_site_fract_z
Cd1 0.0000 0.0000 0.0000
Ni1 0.0000 0.0000 0.5000
Mo1 0.2425 0.2500 0.6250

[2]
# GGA-PBE PIr2O, relaxed
# M_tot: 0.00 μB/cell
# Formation energy from raw total energies: 0.138 eV/atom
# Calculated volume: 11.90 Å³/atom
# N(E_F): 3.79 states/eV/f.u.
data_PIr2O
_chemical_formula_sum 'P4 Ir8 O4'
_space_group_name_H-M_alt 'F m -3 m'
_space_group_IT_number 225
_space_group_name_Hall '-F 4 2 3'
_cell_length_a 5.7533
_cell_length_b 5.7533
_cell_length_c 5.7533
_cell_angle_alpha 90.00
_cell_angle_beta 90.00
_cell_angle_gamma 90.00
loop_
_atom_site_label
_atom_site_fract_x
_atom_site_fract_y
_atom_site_fract_z
P1 0.0000 0.0000 0.0000
Ir1 0.2500 0.2500 0.2500
O1 0.0000 0.0000 0.5000

[3]
# GGA-PBE K2Li2SnBr6, relaxed
# M_tot: 0.00 μB/cell
# Formation energy from raw total energies: -1.357 eV/atom
# Calculated volume: 35.56 Å³/atom
# N(E_F): 0.00 states/eV/f.u.
data_K2Li2SnBr6
_chemical_formula_sum 'K4 Li4 Sn2 Br12'
_space_group_name_H-M_alt 'C 1 2/m 1'
_space_group_IT_number 12
_cell_length_a 13.2741
_cell_length_b 8.0343
_cell_length_c 8.2037
_cell_angle_alpha 90.00
_cell_angle_beta 116.58
_cell_angle_gamma 90.00
loop_
_space_group_symop_operation_xyz
'x,y,z'
'-x,-y,-z'
'-x,y,-z'
'x,-y,z'
'x+1/2,y+1/2,z'
'-x+1/2,-y+1/2,-z'
'-x+1/2,y+1/2,-z'
'x+1/2,-y+1/2,z'
loop_
_atom_site_label
_atom_site_fract_x
_atom_site_fract_y
_atom_site_fract_z
K1 0.2145 0.0000 0.1564
Li1 0.0567 0.5000 0.2665
Sn1 0.0000 0.0000 0.5000
Br1 0.0647 0.2523 0.8048
Br2 0.2396 0.0000 0.5699

[4]
# GGA-PBE SrMgHg2, relaxed
# M_tot: 0.00 μB/cell
# Calculated volume: 28.40 Å³/atom
# N(E_F): 2.45 states/eV/f.u.
data_SrMgHg2
_chemical_formula_sum 'Sr1 Mg1 Hg2'
_space_group_name_H-M_alt 'P 4 m m'
_space_group_IT_number 99
_cell_length_a 4.0155
_cell_length_b 4.0155
_cell_length_c 7.0459
_cell_angle_alpha 90.00
_cell_angle_beta 90.00
_cell_angle_gamma 90.00
loop_
_space_group_symop_operation_xyz
'x,y,z'
'-y,x,z'
'-x,-y,z'
'y,-x,z'
'-x,y,z'
'y,x,z'
'x,-y,z'
'-y,-x,z'
loop_
_atom_site_label
_atom_site_fract_x
_atom_site_fract_y
_atom_site_fract_z
Sr1 0.0000 0.0000 0.0000
Mg1 0.5000 0.5000 0.6582
Hg1 0.0000 0.0000 0.5157
Hg2 0.5000 0.5000 0.2449

[5]
# GGA-PBE LuSc3Cl, relaxed
# M_tot: 0.00 μB/cell
# Formation energy from raw total energies: -0.369 eV/atom
# Calculated volume: 23.92 Å³/atom
# N(E_F): 9.44 states/eV/f.u.
data_LuSc3Cl
_chemical_formula_sum 'Lu1 Sc3 Cl1'
_space_group_name_H-M_alt 'P m -3 m'
_space_group_IT_number 221
_space_group_name_Hall '-P 4 2 3'
_cell_length_a 4.9272
_cell_length_b 4.9272
_cell_length_c 4.9272
_cell_angle_alpha 90.00
_cell_angle_beta 90.00
_cell_angle_gamma 90.00
loop_
_atom_site_label
_atom_site_fract_x
_atom_site_fract_y
_atom_site_fract_z
Lu1 0.0000 0.0000 0.0000
Sc1 0.0000 0.5000 0.5000
Cl1 0.5000 0.5000 0.5000

[6]
# GGA-PBE InTcHgH2, relaxed
# M_tot: 1.57 μB/cell
# Calculated volume: 16.56 Å³/atom
# N(E_F): 2.22 states/eV/f.u.
data_InTcHgH2
_chemical_formula_sum 'In1 Tc1 Hg1 H2'
_space_group_name_H-M_alt 'P 4/m m m'
_space_group_IT_number 123
_space_group_name_Hall '-P 4 2'
_cell_length_a 3.7801
_cell_length_b 3.7801
_cell_length_c 5.7950
_cell_angle_alpha 90.00
_cell_angle_beta 90.00
_cell_angle_gamma 90.00
loop_
_atom_site_label
_atom_site_fract_x
_atom_site_fract_y
_atom_site_fract_z
In1 0.0000 0.0000 0.0000
Tc1 0.5000 0.5000 0.0000
Hg1 0.5000 0.5000 0.5000
H1 0.0000 0.5000 0.5000

[7]
# GGA-PBE Ti2SiTc5B2, relaxed
# M_tot: 0.00 μB/cell
# Formation energy from raw total energies: -0.473 eV/atom
# Calculated volume: 12.91 Å³/atom
# N(E_F): 10.46 states/eV/f.u.
data_Ti2SiTc5B2
_chemical_formula_sum 'Ti4 Si2 Tc10 B4'
_space_group_name_H-M_alt 'P 4/m b m'
_space_group_IT_number 127
_space_group_name_Hall '-P 4 2ab'
_cell_length_a 9.1696
_cell_length_b 9.1696
_cell_length_c 3.0698
_cell_angle_alpha 90.00
_cell_angle_beta 90.00
_cell_angle_gamma 90.00
loop_
_atom_site_label
_atom_site_fract_x
_atom_site_fract_y
_atom_site_fract_z
Ti1 0.1730 0.3270 0.0000
Si1 0.0000 0.0000 0.0000
Tc1 0.0000 0.5000 0.5000
Tc2 0.0670 0.7928 0.5000
B1 0.1280 0.6280 0.0000

[8]
# GGA-PBE La14YSc, relaxed
# M_tot: 0.00 μB/cell
# Calculated volume: 35.38 Å³/atom
# N(E_F): 25.85 states/eV/f.u.
data_La14YSc
_chemical_formula_sum 'La28 Y2 Sc2'
_space_group_name_H-M_alt 'C m m m'
_space_group_IT_number 65
_space_group_name_Hall '-C 2 2'
_cell_length_a 10.3965
_cell_length_b 10.4152
_cell_length_c 10.4543
_cell_angle_alpha 90.00
_cell_angle_beta 90.00
_cell_angle_gamma 90.00
loop_
_atom_site_label
_atom_site_fract_x
_atom_site_fract_y
_atom_site_fract_z
La1 0.0000 0.0000 0.0000
La2 0.0000 0.2455 0.2539
La3 0.0000 0.5000 0.0000
La4 0.2453 0.0000 0.2536
La5 0.2500 0.2500 0.0000
La6 0.2500 0.2500 0.5000
Y1 0.0000 0.5000 0.5000
Sc1 0.0000 0.0000 0.5000

| no. | total energy (eV per atom) |
| --- | --- |
| 1 | -6.393 |
| 2 | -6.885 |
| 3 | -3.181 |
| 4 | -1.245 |
| 5 | -5.442 |
| 6 | -3.208 |
| 7 | -9.113 |
| 8 | -5.095 |